3
Lattice="-2.741 -1.745 -0.096 1.680 0.237 2.773 -4.096 6.329 1.941" Properties=species:S:1:pos:R:3 comment="SbOsCl, relaxed, DFT PBE" e_tot_ev_per_cell=-15.95 e_form_raw_ev_per_atom=0.417 e_above_lowest_polymorph_ev_per_fu=0.00 pbc="T T T"
Os -2.627 1.017 1.505
Sb -2.151 3.218 2.934
Cl -0.379 0.586 0.180


4
Lattice="-0.148 -4.415 -0.634 2.558 -0.206 0.842 -0.851 -0.699 5.066" Properties=species:S:1:pos:R:3 comment="Li2CdCo, relaxed, DFT PBE" e_tot_ev_per_cell=-11.35 e_form_ev_per_atom=0.125 pbc="T T T"
Li 0.353 -2.413 1.017
Li 2.288 -0.188 0.780
Cd 0.776 -0.475 3.123
Co 1.556 -2.904 4.149


5
Lattice="4.814 0.000 0.000 0.000 4.814 0.000 0.000 0.000 4.654" Properties=species:S:1:pos:R:3 comment="PRhBrCl2, relaxed, DFT PBE" e_tot_ev_per_cell=-17.19 e_form_raw_ev_per_atom=0.187 e_above_lowest_polymorph_ev_per_fu=0.00 pbc="T T T"
Rh 0.000 0.000 0.000
P 0.000 0.000 2.327
Cl 2.407 0.000 0.000
Cl 0.000 2.407 0.000
Br 2.407 2.407 2.327


4
Lattice="2.791 0.014 0.000 -1.212 2.514 0.000 0.000 0.000 9.728" Properties=species:S:1:pos:R:3 comment="Re2AgSe, relaxed, DFT PBE" e_tot_ev_per_cell=-29.10 e_form_raw_ev_per_atom=0.533 pbc="T T T"
Ag 0.789 1.264 7.444
Re 0.000 0.000 0.214
Re 0.789 1.264 2.326
Se 0.000 0.000 4.608


16
Lattice="-0.596 3.148 -1.534 -4.317 -3.705 -1.814 -6.664 3.241 9.240" Properties=species:S:1:pos:R:3 comment="CaPu2PdN4, relaxed, DFT PBE" e_tot_ev_per_cell=-151.06 e_form_raw_ev_per_atom=-0.796 pbc="T T T"
N -6.469 2.409 3.343
N 0.000 0.000 0.000
N -2.883 -0.807 -0.535
N -5.108 0.275 2.549
N -3.332 1.621 4.620
N -8.694 3.490 6.427
N -8.904 0.627 4.746
N -2.673 2.057 1.147
Ca -5.968 0.535 -0.696
Ca -5.609 2.149 6.588
Pu -7.141 0.248 3.284
Pu -4.436 2.435 2.609
Pu -1.920 1.212 -0.880
Pu -9.657 1.472 6.773
Pd -7.865 2.818 4.727
Pd -3.712 -0.135 1.166


12
Lattice="-5.759 4.109 3.177 -6.120 -9.000 0.547 4.066 3.969 2.236" Properties=species:S:1:pos:R:3 comment="UTiOs, relaxed, DFT PBE" e_tot_ev_per_cell=-118.82 e_form_ev_per_atom=0.236 pbc="T T T"
Ti -2.334 0.122 0.961
Ti -9.545 -5.013 2.764
Ti -5.019 -4.646 1.028
Ti -6.860 -0.245 2.697
Os -2.338 1.769 2.939
Os -5.475 -2.691 3.022
Os -2.519 -4.786 1.623
Os 0.465 -0.245 1.159
U -8.853 -2.632 2.990
U -4.920 1.245 2.235
U -3.026 -2.259 0.734
U -6.959 -6.136 1.489


6
Lattice="3.968 0.000 0.000 -1.984 4.859 0.007 0.000 -2.483 6.398" Properties=species:S:1:pos:R:3 comment="PmPF, relaxed, DFT PBE" e_tot_ev_per_cell=-38.49 e_form_raw_ev_per_atom=-2.405 e_above_lowest_polymorph_ev_per_fu=0.08 pbc="T T T"
F 0.000 0.464 3.749
F 1.984 1.913 2.657
Pm 1.984 1.115 4.935
Pm 0.000 1.262 1.470
P 1.984 -1.694 5.628
P 0.000 4.070 0.777


4
Lattice="3.756 0.000 0.000 0.000 3.756 0.000 0.000 0.000 9.670" Properties=species:S:1:pos:R:3 comment="KLi2Pr, relaxed, DFT PBE" e_tot_ev_per_cell=-8.89 e_form_ev_per_atom=0.205 pbc="T T T"
Li 0.000 0.000 7.577
Li 0.000 0.000 2.093
Pr 1.878 1.878 0.000
K 1.878 1.878 4.835


4
Lattice="-1.677 -0.116 -2.408 1.808 -2.002 -1.163 -4.067 -5.470 3.096" Properties=species:S:1:pos:R:3 comment="Hf2TaH, relaxed, DFT PBE" e_tot_ev_per_cell=-34.04 e_above_lowest_polymorph_ev_per_fu=0.18 pbc="T T T"
H 0.065 -1.059 -1.786
Hf -3.275 -4.405 2.493
Hf -0.791 -1.064 0.602
Ta -1.968 -3.794 -0.238


19
Lattice="7.164 -0.363 -0.785 -0.835 7.124 -0.785 -0.340 -0.363 7.198" Properties=species:S:1:pos:R:3 comment="K6SiF12, relaxed, DFT PBE" e_tot_ev_per_cell=-84.43 e_form_raw_ev_per_atom=-2.630 pbc="T T T"
F 0.876 6.965 -0.601
F 2.905 5.722 1.906
F -0.997 6.482 4.717
F 6.986 -0.084 0.912
F -0.173 1.334 6.916
F 3.745 3.122 0.240
F 2.244 3.276 5.389
F 6.162 5.064 -1.287
F 0.417 3.943 2.848
F 3.084 0.677 3.723
F 5.572 2.456 2.781
F 5.113 -0.567 6.230
K 5.307 4.781 1.628
K 4.090 0.787 1.318
K 0.682 1.618 4.001
K 4.641 2.265 5.196
K 1.348 4.133 0.433
K 1.898 5.611 4.311
Si 0.000 0.000 0.000


4
Lattice="-4.153 1.750 0.987 -2.107 -2.919 -3.689 -0.776 -3.772 3.427" Properties=species:S:1:pos:R:3 comment="LaThPb2, relaxed, DFT PBE" e_tot_ev_per_cell=-21.41 e_form_ev_per_atom=-0.411 pbc="T T T"
Pb -1.053 -1.459 -1.845
Pb -0.388 -1.886 1.713
La -2.076 0.875 0.493
Th -3.518 -2.470 0.362


14
Lattice="-7.968 1.965 -4.188 -6.526 -0.639 -6.473 -10.853 -7.929 2.188" Properties=species:S:1:pos:R:3 comment="Ca3Mg2Zn2, relaxed, DFT PBE" e_tot_ev_per_cell=-24.44 e_form_ev_per_atom=-0.068 e_above_lowest_polymorph_ev_per_fu=0.59 pbc="T T T"
Ca -23.609 -5.911 -8.164
Ca -17.854 -3.186 -7.638
Ca -12.175 -0.256 -7.393
Ca -1.738 -0.691 -0.309
Ca -7.493 -3.416 -0.835
Ca -13.172 -6.346 -1.080
Mg -4.444 -2.774 0.357
Mg -20.903 -3.828 -8.830
Mg -15.260 -1.101 -8.377
Mg -10.087 -5.501 -0.097
Zn -9.860 -1.974 -3.974
Zn -6.814 -0.350 -3.902
Zn -18.532 -6.252 -4.571
Zn -15.487 -4.629 -4.499


10
Lattice="-2.998 -4.643 -1.053 5.013 -3.346 0.484 -3.718 0.869 6.756" Properties=species:S:1:pos:R:3 comment="TlCd3Ag, relaxed, DFT PBE" e_tot_ev_per_cell=-15.60 e_form_ev_per_atom=0.032 e_above_lowest_polymorph_ev_per_fu=0.00 pbc="T T T"
Tl 0.061 -5.286 0.587
Tl -1.765 -1.834 5.599
Cd 0.976 -3.352 4.488
Cd -2.679 -3.768 1.699
Cd 0.141 -2.239 1.959
Cd -4.349 -3.209 3.986
Cd 2.645 -3.911 2.200
Cd -1.844 -4.881 4.228
Ag -1.499 -2.322 -0.526
Ag 0.000 0.000 0.000


18
Lattice="7.677 0.000 0.000 0.000 7.677 0.000 0.000 0.000 13.461" Properties=species:S:1:pos:R:3 comment="NaNd2I6, relaxed, DFT PBE" e_tot_ev_per_cell=-63.37 e_form_raw_ev_per_atom=-1.281 e_above_lowest_polymorph_ev_per_fu=0.13 pbc="T T T"
I 2.254 2.254 11.139
I 1.640 6.037 0.000
I 5.478 5.478 6.731
I 6.093 1.585 4.409
I 6.093 1.585 9.052
I 6.037 1.640 0.000
I 2.199 2.199 6.731
I 5.423 5.423 11.139
I 5.423 5.423 2.322
I 1.585 6.093 4.409
I 2.254 2.254 2.322
I 1.585 6.093 9.052
Na 3.839 3.839 0.000
Na 0.000 0.000 6.731
Nd 0.000 0.000 2.063
Nd 0.000 0.000 11.398
Nd 3.839 3.839 8.793
Nd 3.839 3.839 4.668


12
Lattice="6.182 0.261 0.000 -2.710 7.661 0.000 0.000 0.000 8.488" Properties=species:S:1:pos:R:3 comment="Sm4HgTe, relaxed, DFT PBE" e_tot_ev_per_cell=-49.10 e_form_raw_ev_per_atom=-0.371 e_above_lowest_polymorph_ev_per_fu=1.12 pbc="T T T"
Sm 0.865 7.796 2.122
Sm 5.335 2.187 4.632
Sm 2.389 3.950 6.366
Sm 1.084 3.972 2.122
Sm -1.862 5.735 3.856
Sm -1.862 5.735 0.388
Sm 2.608 0.126 6.366
Sm 5.335 2.187 8.100
Hg 4.012 3.429 2.122
Hg -0.539 4.492 6.366
Te 0.534 0.680 2.122
Te 2.938 7.242 6.366


5
Lattice="-4.598 0.531 -2.228 0.070 -3.222 -0.912 -2.288 -1.299 4.412" Properties=species:S:1:pos:R:3 comment="Cd2FeReN, relaxed, DFT PBE" e_tot_ev_per_cell=-25.46 e_form_raw_ev_per_atom=1.120 pbc="T T T"
Cd -1.144 -0.649 2.206
Cd -2.299 0.265 -1.114
Fe 0.000 0.000 0.000
N 0.035 -1.611 -0.456
Re -3.408 -1.995 0.636


4
Lattice="4.701 0.000 0.000 2.351 4.071 0.000 2.351 1.357 3.839" Properties=species:S:1:pos:R:3 comment="PuPaVRe, relaxed, DFT PBE" e_tot_ev_per_cell=-45.01 e_form_ev_per_atom=0.096 pbc="T T T"
Pu 4.701 2.714 1.919
Pa 7.052 4.071 2.879
V 2.351 1.357 0.960
Re 0.000 0.000 0.000


13
Lattice="4.420 0.000 0.000 0.000 4.461 0.000 0.000 0.000 16.888" Properties=species:S:1:pos:R:3 comment="Y4Sn8Rh, relaxed, DFT PBE" e_tot_ev_per_cell=-73.17 e_form_ev_per_atom=-0.611 pbc="T T T"
Sn 0.000 0.000 12.710
Sn 0.000 2.230 3.890
Sn 2.210 0.000 3.871
Sn 2.210 0.000 9.795
Sn 2.210 2.230 0.927
Sn 0.000 2.230 15.732
Sn 0.000 0.000 7.827
Sn 2.210 2.230 12.753
Y 2.210 0.000 15.190
Y 2.210 2.230 6.651
Y 0.000 0.000 1.569
Y 0.000 2.230 10.259
Rh 0.000 0.000 5.271


4
Lattice="-0.196 -1.367 3.326 3.062 -1.810 -0.563 4.795 7.115 3.207" Properties=species:S:1:pos:R:3 comment="PrSm2Ga, relaxed, DFT PBE" e_tot_ev_per_cell=-18.30 e_form_ev_per_atom=-0.265 e_above_lowest_polymorph_ev_per_fu=0.00 pbc="T T T"
Sm 3.807 5.649 2.546
Sm 0.988 1.466 0.660
Pr 3.831 1.969 2.985
Ga 1.433 -1.588 1.382


4
Lattice="4.092 0.000 0.000 0.000 5.729 0.271 0.000 3.424 4.602" Properties=species:S:1:pos:R:3 comment="InRhBr2, relaxed, DFT PBE" e_tot_ev_per_cell=-14.54 e_form_raw_ev_per_atom=-0.276 e_above_lowest_polymorph_ev_per_fu=0.00 pbc="T T T"
Br 0.000 8.445 4.496
Br 2.046 2.495 1.328
Rh 2.046 6.685 3.559
In 0.000 5.259 2.800